A plane-wave DFT calculation with PBE was carried out for crystalline LaZr3Os at its relaxed geometry.

Unit cell a=5.1560 b=5.1560 c=5.1560 alpha=90.00 beta=90.00 gamma=90.00
Fractional positions:
Os: 0.0000 0.0000 0.0000
Zr: 0.0000 0.5000 0.0000
Zr: 0.0000 0.0000 0.5000
Zr: 0.5000 0.0000 0.0000
La: 0.5000 0.5000 0.5000

Energy relative to the elements: 0.132 eV per atom
DOS at the Fermi energy: 7.33 states/eV per cell
Total DFT energy (no corrections): -8.23 eV per atom
Energy above the lowest structure with this stoichiometry: 0.0 meV per atom